The following is a PBE calculation of an optimized crystal structure of SrCd2Br, from the Alexandria database.

POSCAR file:
```
SrCd2Br
1.0
3.818 -0.033 0.000
0.032 3.817 0.000
0.000 0.000 9.079
Cd Br Sr
2 1 1
Cartesian
1.925 1.892 2.159
0.000 0.000 0.727
1.925 1.892 6.185
0.000 0.000 4.548
```

Calculated values
calculated density = 4.92 g/cm3
formation energy (no corrections) = -684.3 meV/atom


The following is a PBE calculation of an optimized crystal structure of MnWAu, from the Alexandria database.

POSCAR file:
```
MnWAu
1.0
-4.411 0.439 -0.672
1.634 -3.788 1.756
-0.273 1.021 2.457
W Mn Au
1 1 1
Cartesian
-0.563 -1.698 2.584
-2.441 -0.799 0.549
-0.045 0.170 0.408
```

Calculated values
calculated density = 15.54 g/cm3
energy = -8.09 eV/atom


The following is a PBE calculation of an optimized crystal structure of La4Tb4Er, from the Alexandria database.

POSCAR file:
```
La4Tb4Er
1.0
-2.878 -5.390 0.768
-2.895 0.779 -5.379
10.141 -2.218 -2.255
Tb Er La
4 1 4
Cartesian
0.027 -3.014 -5.245
0.033 -5.234 -3.033
3.299 -3.535 -3.557
5.377 -1.875 -1.897
0.000 0.000 0.000
-1.439 -2.695 0.384
-1.448 0.390 -2.690
2.251 -5.509 -5.535
2.116 -1.319 -1.330
```

Calculated values
calculated density = 6.14 g/cm3
energy = -4.06 eV/atom


The following is a PBE calculation of an optimized crystal structure of Re2IBr2, from the Alexandria database.

POSCAR file:
```
Re2IBr2
1.0
-3.327 -3.019 1.028
2.789 -3.474 -1.178
1.604 -3.523 5.172
Re I Br
2 1 2
Cartesian
0.096 -3.301 0.947
0.970 -6.716 4.074
0.000 0.000 0.000
2.062 -5.122 1.959
-0.996 -4.895 3.062
```

Calculated values
calculated density = 9.24 g/cm3
formation energy (no corrections) = 1172.4 meV/atom